[1]
First-principles (PBE) data for an optimized crystal structure of VCrOs2, as listed in Alexandria via LeMat-Bulk.

Calculated values
VASP energy = -10.32 eV per atom
relative energy among the computed polymorphs = 0.000 eV/atom
formation enthalpy at 0 K = -23 meV per atom

abc: 6.0292 6.0292 6.0292
angles: 90.00 90.00 90.00
Closest atoms and distances in Å follow each position.
Space group Fm-3m (No. 225)
One atom of each set of equivalent atoms:
V 0.0000 0.0000 0.0000 (multiplicity 4)  8 Os 2.61
Cr 0.0000 0.0000 0.5000 (multiplicity 4)  8 Os 2.61
Os 0.2500 0.2500 0.2500 (multiplicity 8)  4 Cr 2.61, 4 V 2.61

[2]
First-principles (PBE) data for an optimized crystal structure of TaZnHg, as listed in Alexandria via LeMat-Bulk.

Calculated values
VASP energy = -4.27 eV per atom
relative energy among the computed polymorphs = 0.000 eV/atom
formation enthalpy at 0 K = 207 meV per atom

abc: 2.8943 2.8943 12.8717
angles: 90.00 90.00 90.00
Closest atoms and distances in Å follow each position.
Space group I4mm (No. 107)
One atom of each set of equivalent atoms:
Ta 0.0000 0.0000 0.0000 (multiplicity 2)  4 Zn 2.84, 4 Ta 2.89, 4 Hg 3.06
Zn 0.0000 0.0000 0.6528 (multiplicity 2)  4 Ta 2.84, 4 Zn 2.89, 4 Hg 3.00
Hg 0.0000 0.0000 0.3228 (multiplicity 2)  4 Hg 2.89, 4 Zn 3.00, 4 Ta 3.06